# Li2CrC2O6 PBE with a Hubbard U relaxed
# * uncorrected energy: -156.6 eV for the cell shown
# * ΔE to the lowest computed polymorph: 0.000 eV per atom
data_Li2CrC2O6
_cell_length_a 5.310
_cell_length_b 7.584
_cell_length_c 8.127
_cell_angle_alpha 90.00
_cell_angle_beta 113.19
_cell_angle_gamma 90.00
_symmetry_space_group_name_H-M 'P 1 21/c 1'
_symmetry_Int_Tables_number 14
_symmetry_space_group_name_Hall '-P 2ybc'
loop_
_atom_site_label
_atom_site_type_symbol
_atom_site_fract_x
_atom_site_fract_y
_atom_site_fract_z
Li1 Li 0.058 0.137 0.148
Cr1 Cr 0.500 0.000 0.000
C1 C 0.378 0.715 0.722
O1 O 0.218 0.594 0.614
O2 O 0.276 0.681 0.307
O3 O 0.374 0.224 0.763